BaAc2SeO5, relaxed, DFT PBE; uncorrected formation energy = -2.25 eV/atom; electronic total energy = -117.4 eV/cell; symmetry = I4/mcm (140)
1.0
-3.574 3.574 6.492
3.574 -3.574 6.492
3.574 3.574 -6.492
Ba Ac Se O
2 4 2 10
Cartesian
0.000 0.000 3.246
0.000 0.000 9.738
4.815 1.241 0.000
1.241 2.332 0.000
2.332 1.241 6.492
-1.241 2.332 6.492
3.574 0.000 3.246
0.000 3.574 3.246
0.000 0.000 0.000
2.563 1.010 -1.554
2.563 -1.010 4.938
2.563 1.010 1.554
2.563 -1.010 8.046
0.000 0.000 6.492
1.010 4.584 -1.554
1.010 2.563 4.938
1.010 4.584 1.554
1.010 2.563 8.046